1.
Here is a relaxed structure of TaAl3 from Alexandria. Energies are from GGA-PBEsol.

Geometry as POSCAR:
```
TaAl3
1.0
5.040 0.001 0.000
2.133 4.567 0.000
-3.586 -2.284 2.707
Al Ta
3 1
direct
0.500 0.500 0.000
0.750 0.250 0.500
0.250 0.750 0.500
0.000 0.000 0.000
```

Results
E_form = -30.63 kJ/mol of atoms
E = -6.5239 eV per atom
mass density = 7.0 g/cm3
spin magnetization = 0.0 μB/cell
symmetry = No. 139

=====

2.
Here is a relaxed structure of SrMg2Mo from Alexandria. Energies are from GGA-PBEsol.

Geometry as POSCAR:
```
SrMg2Mo
1.0
-0.660 -0.474 2.996
2.242 -0.865 1.965
2.655 9.832 3.749
Mg Mo Sr
2 1 1
direct
0.007 0.007 0.979
0.757 0.757 0.730
0.494 0.494 0.518
0.242 0.242 0.273
```

Results
E_form = 64.00 kJ/mol of atoms
E = -3.5974 eV per atom
mass density = 4.3 g/cm3
spin magnetization = 0.0 μB/cell
polymorph energy (0 for the lowest one) = 0.000 eV/atom
symmetry = No. 160

=====

3.
Here is a relaxed structure of LiTaW2 from Alexandria. Energies are from GGA-PBEsol.

Geometry as POSCAR:
```
LiTaW2
1.0
3.768 0.000 0.000
0.000 3.768 0.000
-1.884 -1.884 4.351
Ta Li W
1 1 2
direct
0.000 0.000 0.000
0.500 0.500 0.000
0.750 0.250 0.500
0.250 0.750 0.500
```

Results
E_form = 49.43 kJ/mol of atoms
E = -10.0209 eV per atom
mass density = 14.9 g/cm3
spin magnetization = 0.0 μB/cell
polymorph energy (0 for the lowest one) = 0.030 eV/atom
symmetry = No. 139

=====

4.
Here is a relaxed structure of Ho3Co4Ge13 from Alexandria. Energies are from GGA-PBEsol.

Geometry as POSCAR:
```
Ho3Co4Ge13
1.0
-8.623 0.328 -0.399
-0.474 -2.345 8.301
0.207 8.308 2.359
Ge Ho Co
26 6 8
direct
0.304 0.000 0.847
0.000 0.000 0.000
0.196 0.653 0.500
0.153 0.696 0.000
0.000 0.847 0.696
0.347 0.500 0.804
0.696 0.000 0.153
0.653 0.500 0.196
0.153 0.304 0.000
0.653 0.500 0.804
0.804 0.347 0.500
0.347 0.500 0.196
0.304 0.000 0.153
0.500 0.196 0.653
0.696 0.000 0.847
0.847 0.304 0.000
0.500 0.196 0.347
0.500 0.804 0.653
0.500 0.804 0.347
0.000 0.153 0.696
0.500 0.500 0.500
0.804 0.653 0.500
0.000 0.153 0.304
0.000 0.847 0.304
0.196 0.347 0.500
0.847 0.696 0.000
0.500 0.250 0.000
0.750 0.000 0.500
0.000 0.500 0.750
0.500 0.750 0.000
0.000 0.500 0.250
0.250 0.000 0.500
0.250 0.750 0.250
0.250 0.250 0.750
0.750 0.750 0.750
0.250 0.250 0.250
0.750 0.250 0.250
0.750 0.250 0.750
0.250 0.750 0.750
0.750 0.750 0.250
```

Results
E_form = -47.69 kJ/mol of atoms
E = -5.9945 eV per atom
mass density = 8.6 g/cm3
spin magnetization = 0.0 μB/cell
symmetry = No. 223